# 1
A plane-wave DFT calculation with PBE was carried out for CsSbIO2 after structural relaxation.

Computed properties:
* offset from the most stable computed form: 0 meV/atom
* formation energy (no corrections): -1.219 eV/atom
* ρ: 4.354 g/cm³
* VASP energy: -4.508 eV/atom
* total moment: 0.0 Bohr magnetons per cell
* volume: 31.544 Å³ per atom

a b c (Å): 7.103 15.952 5.568
angles (deg): 90.00 90.00 90.00
Space group Cmcm (No. 63)
Unique sites:
Cs (0.000, 0.116, 0.250) (multiplicity 4)
Sb (0.000, 0.454, 0.250) (multiplicity 4)
I (0.000, 0.288, 0.750) (multiplicity 4)
O (0.181, 0.500, 0.000) (multiplicity 8)


# 2
A plane-wave DFT calculation with PBE was carried out for CsScI2O after structural relaxation.

Computed properties:
* offset from the most stable computed form: 1896 meV/atom
* formation energy (no corrections): 0.103 eV/atom
* ρ: 3.718 g/cm³
* VASP energy: -2.945 eV/atom
* total moment: 1.2 Bohr magnetons per cell
* volume: 39.989 Å³ per atom

a b c (Å): 6.769 6.769 4.364
angles (deg): 90.00 90.00 90.00
Space group P4/mmm (No. 123)
Unique sites:
Cs (0.000, 0.000, 0.000) (multiplicity 1)
Sc (0.500, 0.500, 0.500) (multiplicity 1)
I (0.000, 0.500, 0.000) (multiplicity 2)
O (0.000, 0.000, 0.500) (multiplicity 1)